Record 1
Compound: EuSnGe
Source: Alexandria via LeMat-Bulk
Functional: PBE
Structure: relaxed Values from VASP.

Output
* space-group type: I4mm
* N(E_F): 2.621 states/eV per atom
* energy relative to the elements: -0.27 eV per atom

Cell and atoms, written as Quantum ESPRESSO input:
```
&SYSTEM
  ibrav = 0, nat = 3, ntyp = 3
/
ATOMIC_SPECIES
Eu 151.96 Eu.upf
Sn 118.71 Sn.upf
Ge 72.64 Ge.upf
CELL_PARAMETERS angstrom
-2.217 2.217 4.361
2.217 -2.217 4.361
2.217 2.217 -4.361
ATOMIC_POSITIONS crystal
Eu 0.000 0.000 0.000
Sn 0.646 0.646 0.000
Ge 0.342 0.342 0.000
```

***

Record 2
Compound: Li6Bi2B4SO16
Source: Alexandria via LeMat-Bulk
Functional: PBE
Structure: relaxed Values from VASP.

Output
* space-group type: Fd-3
* raw formation energy: -1.902 eV per atom
* N(E_F): 0.299 states/eV per atom

Cell and atoms, written as Quantum ESPRESSO input:
```
&SYSTEM
  ibrav = 0, nat = 58, ntyp = 5
/
ATOMIC_SPECIES
Li 6.94 Li.upf
Bi 208.98 Bi.upf
B 10.81 B.upf
S 32.06 S.upf
O 16.00 O.upf
CELL_PARAMETERS angstrom
0.000 6.875 6.875
6.875 0.000 6.875
6.875 6.875 0.000
ATOMIC_POSITIONS crystal
Li 0.085 0.085 0.665
Li 0.085 0.665 0.085
Li 0.085 0.665 0.665
Li 0.335 0.335 0.915
Li 0.335 0.915 0.335
Li 0.335 0.915 0.915
Li 0.665 0.085 0.085
Li 0.665 0.085 0.665
Li 0.665 0.665 0.085
Li 0.915 0.335 0.335
Li 0.915 0.335 0.915
Li 0.915 0.915 0.335
Bi 0.000 0.500 0.500
Bi 0.500 0.000 0.500
Bi 0.500 0.500 0.000
Bi 0.500 0.500 0.500
B 0.272 0.272 0.272
B 0.272 0.272 0.684
B 0.272 0.684 0.272
B 0.316 0.728 0.728
B 0.684 0.272 0.272
B 0.728 0.316 0.728
B 0.728 0.728 0.316
B 0.728 0.728 0.728
S 0.125 0.125 0.125
S 0.875 0.875 0.875
O 0.062 0.062 0.062
O 0.062 0.062 0.314
O 0.062 0.314 0.062
O 0.131 0.270 0.683
O 0.131 0.416 0.270
O 0.131 0.683 0.416
O 0.270 0.131 0.416
O 0.270 0.416 0.683
O 0.270 0.683 0.131
O 0.314 0.062 0.062
O 0.317 0.584 0.869
O 0.317 0.730 0.584
O 0.317 0.869 0.730
O 0.416 0.131 0.683
O 0.416 0.270 0.131
O 0.416 0.683 0.270
O 0.584 0.317 0.730
O 0.584 0.730 0.869
O 0.584 0.869 0.317
O 0.683 0.131 0.270
O 0.683 0.270 0.416
O 0.683 0.416 0.131
O 0.686 0.938 0.938
O 0.730 0.317 0.869
O 0.730 0.584 0.317
O 0.730 0.869 0.584
O 0.869 0.317 0.584
O 0.869 0.584 0.730
O 0.869 0.730 0.317
O 0.938 0.686 0.938
O 0.938 0.938 0.686
O 0.938 0.938 0.938
```

***

Record 3
Compound: Nd3YSb2
Source: Alexandria via LeMat-Bulk
Functional: PBE
Structure: relaxed Values from VASP.

Output
* space-group type: P-4m2
* raw formation energy: -0.832 eV per atom
* N(E_F): 0.869 states/eV per atom

Cell and atoms, written as Quantum ESPRESSO input:
```
&SYSTEM
  ibrav = 0, nat = 6, ntyp = 3
/
ATOMIC_SPECIES
Nd 144.24 Nd.upf
Y 88.91 Y.upf
Sb 121.76 Sb.upf
CELL_PARAMETERS angstrom
4.585 0.000 0.000
0.000 4.585 0.000
0.000 0.000 8.786
ATOMIC_POSITIONS crystal
Nd 0.000 0.000 0.000
Nd 0.000 0.500 0.646
Nd 0.500 0.000 0.354
Y 0.500 0.500 0.000
Sb 0.000 0.500 0.276
Sb 0.500 0.000 0.724
```

***

Record 4
Compound: Na2Pb5
Source: Alexandria via LeMat-Bulk
Functional: PBE
Structure: relaxed Values from VASP.

Output
* space-group type: C2/c
* N(E_F): 0.502 states/eV per atom
* energy relative to the elements: -0.07 eV per atom

Cell and atoms, written as Quantum ESPRESSO input:
```
&SYSTEM
  ibrav = 0, nat = 14, ntyp = 2
/
ATOMIC_SPECIES
Na 22.99 Na.upf
Pb 207.20 Pb.upf
CELL_PARAMETERS angstrom
10.197 -3.041 0.000
10.197 3.041 0.000
-0.125 0.000 6.898
ATOMIC_POSITIONS crystal
Na 0.022 0.832 0.608
Na 0.168 0.978 0.892
Na 0.832 0.022 0.108
Na 0.978 0.168 0.392
Pb 0.123 0.307 0.676
Pb 0.268 0.443 0.960
Pb 0.307 0.123 0.176
Pb 0.409 0.591 0.250
Pb 0.443 0.268 0.460
Pb 0.557 0.732 0.540
Pb 0.591 0.409 0.750
Pb 0.693 0.877 0.824
Pb 0.732 0.557 0.040
Pb 0.877 0.693 0.324
```

***

Q: N(E_F) of number 3 (Nd3YSb2)?
A: 0.869 states/eV per atom